[1]
Here is a PBEsol-optimized structure of Zn2AgRh from Alexandria via LeMat-Bulk. Energies are from SCAN.

Cell: 2.712 2.712 8.838 Å, 90.00 90.00 117.18°
Atoms (fractional coordinates):
Ag  0.000  0.000  0.503
Zn  0.000  0.000  0.004
Zn  0.500  0.500  0.757
Rh  0.500  0.500  0.236

Values from the calculation:
DOS(E_F)   0.554 states/eV per atom
ΔE_f   0.03 eV/atom


[2]
Here is a PBEsol-optimized structure of Zn2AgRh from Alexandria via LeMat-Bulk. Energies are from SCAN.

Cell: 3.003 4.320 4.320 Å, 96.36 90.00 90.00°
Atoms (fractional coordinates):
Ag  0.500  0.000  0.000
Zn  0.000  0.000  0.500
Zn  0.000  0.500  0.000
Rh  0.500  0.500  0.500

Values from the calculation:
DOS(E_F)   0.270 states/eV per atom
ΔE_f   -0.26 eV/atom